(1)
Computed, not measured: a relaxed Rb2CuPdF6 crystal at the PBE level of DFT.

The formation energy (no corrections) is -1946 meV/atom. Its total magnetization is 6.04 μB/cell. The final energy is -4.19 eV/atom. The density of states at the Fermi level is 0.323 states/eV per atom.

The space group is R-3m (No. 166, hexagonal axes) and the conventional cell measures 6.0512, 6.0512 and 30.7484 Å, with angles of 90.00, 90.00 and 120.00 degrees. Symmetry generates all atoms from Rb at (0.0000, 0.0000, 0.1271), Rb at (0.0000, 0.0000, 0.2867), Cu at (0.0000, 0.0000, 0.4073), Pd at (0.0000, 0.0000, 0.0000), Pd at (0.0000, 0.0000, 0.5000), F at (0.0057, 0.5029, 0.2946) and F at (0.0240, 0.5120, 0.1183).


(2)
Computed, not measured: a relaxed ErHfMg crystal at the PBE level of DFT.

Its total magnetization is 0.00 μB/cell. The final energy is -5.18 eV/atom. Its energy relative to the elements is 189 meV per atom. The density of states at the Fermi level is 0.939 states/eV per atom.

The space group is I4/mmm (No. 139) and the conventional cell measures 3.6929, 3.6929 and 25.0730 Å, with angles of 90.00, 90.00 and 90.00 degrees. Symmetry generates all atoms from Er at (0.0000, 0.0000, 0.1474), Hf at (0.0000, 0.0000, 0.2762) and Mg at (0.0000, 0.0000, 0.4401).


(3)
Computed, not measured: a relaxed NiTePCl2 crystal at the PBE level of DFT.

The formation energy (no corrections) is 163 meV/atom. Its total magnetization is 0.00 μB/cell. The final energy is -3.44 eV/atom. The density of states at the Fermi level is 0.796 states/eV per atom.

The space group is P4/mmm (No. 123) and the conventional cell measures 4.4932, 4.4932 and 4.8402 Å, with angles of 90.00, 90.00 and 90.00 degrees. Symmetry generates all atoms from Ni at (0.0000, 0.0000, 0.0000), Te at (0.5000, 0.5000, 0.5000), P at (0.0000, 0.0000, 0.5000) and Cl at (0.0000, 0.5000, 0.0000).


(4)
Computed, not measured: a relaxed Pm2HgTe crystal at the PBE level of DFT.

The formation energy (no corrections) is -832 meV/atom. Its total magnetization is 0.00 μB/cell. The final energy is -4.07 eV/atom. The density of states at the Fermi level is 0.700 states/eV per atom.

The space group is R3m (No. 160, hexagonal axes) and the conventional cell measures 4.1721, 4.1721 and 24.9346 Å, with angles of 90.00, 90.00 and 120.00 degrees. Symmetry generates all atoms from Pm at (0.0000, 0.0000, 0.0000), Pm at (0.0000, 0.0000, 0.1709), Hg at (0.0000, 0.0000, 0.4182) and Te at (0.0000, 0.0000, 0.5866).


(5)
Computed, not measured: a relaxed PmHoAlHg crystal at the PBE level of DFT.

Its total magnetization is 0.00 μB/cell. The final energy is -3.78 eV/atom. Its energy relative to the elements is -433 meV per atom. The density of states at the Fermi level is 0.444 states/eV per atom.

The space group is P4mm (No. 99) and the conventional cell measures 3.5476, 3.5476 and 8.0191 Å, with angles of 90.00, 90.00 and 90.00 degrees. Symmetry generates all atoms from Pm at (0.0000, 0.0000, 0.0000), Ho at (0.0000, 0.0000, 0.5218), Al at (0.5000, 0.5000, 0.7545) and Hg at (0.5000, 0.5000, 0.2770).


(6)
Computed, not measured: a relaxed Ce2SmMg crystal at the PBE level of DFT.

Its total magnetization is 4.37 μB/cell. The final energy is -4.28 eV/atom. Its energy relative to the elements is 270 meV per atom. The density of states at the Fermi level is 2.537 states/eV per atom.

The space group is R-3m (No. 166, hexagonal axes) and the conventional cell measures 3.2858, 3.2858 and 37.8195 Å, with angles of 90.00, 90.00 and 120.00 degrees. Symmetry generates all atoms from Ce at (0.0000, 0.0000, 0.0872), Sm at (0.0000, 0.0000, 0.5000) and Mg at (0.0000, 0.0000, 0.0000).